[1]
# YHg2F2 | the Alexandria database | GGA-PBE | optimized geometry
# * polymorph energy (0 for the lowest one): 0.925 eV/atom
# * symmetry: No. 139
# * raw formation energy: -5.7 eV/f.u.
# * mass density: 8.9 g/cm3
data_YHg2F2
_symmetry_space_group_name_H-M 'P 1'
_symmetry_Int_Tables_number 1
_cell_length_a 7.4229
_cell_length_b 7.4229
_cell_length_c 7.4229
_cell_angle_alpha 150.48
_cell_angle_beta 150.48
_cell_angle_gamma 42.24
loop_
_symmetry_equiv_pos_as_xyz
'x,y,z'
loop_
_atom_site_label
_atom_site_type_symbol
_atom_site_fract_x
_atom_site_fract_y
_atom_site_fract_z
Y1 Y 0.0000 0.0000 0.0000
Hg1 Hg 0.3642 0.3642 0.0000
Hg2 Hg 0.6358 0.6358 0.0000
F1 F 0.2500 0.7500 0.5000
F2 F 0.7500 0.2500 0.5000

[2]
# YHg2F2 | the Alexandria database | GGA-PBE | optimized geometry
# * polymorph energy (0 for the lowest one): 1.095 eV/atom
# * symmetry: No. 127
# * raw formation energy: -4.9 eV/f.u.
# * mass density: 8.2 g/cm3
data_YHg2F2
_symmetry_space_group_name_H-M 'P 1'
_symmetry_Int_Tables_number 1
_cell_length_a 7.7973
_cell_length_b 7.7973
_cell_length_c 3.5309
_cell_angle_alpha 90.00
_cell_angle_beta 90.00
_cell_angle_gamma 90.00
loop_
_symmetry_equiv_pos_as_xyz
'x,y,z'
loop_
_atom_site_label
_atom_site_type_symbol
_atom_site_fract_x
_atom_site_fract_y
_atom_site_fract_z
Y1 Y 0.0000 0.0000 0.0000
Y2 Y 0.5000 0.5000 0.0000
Hg1 Hg 0.1275 0.3725 0.0000
Hg2 Hg 0.3725 0.8725 0.0000
Hg3 Hg 0.6275 0.1275 0.0000
Hg4 Hg 0.8725 0.6275 0.0000
F1 F 0.1735 0.6735 0.5000
F2 F 0.3265 0.1735 0.5000
F3 F 0.6735 0.8265 0.5000
F4 F 0.8265 0.3265 0.5000

[3]
# YHg2F4 | the Alexandria database | GGA-PBE | optimized geometry
# * symmetry: No. 139
# * raw formation energy: -18.1 eV/f.u.
# * mass density: 5.2 g/cm3
data_YHg2F4
_symmetry_space_group_name_H-M 'P 1'
_symmetry_Int_Tables_number 1
_cell_length_a 10.0842
_cell_length_b 10.0842
_cell_length_c 10.0842
_cell_angle_alpha 155.18
_cell_angle_beta 155.18
_cell_angle_gamma 35.38
loop_
_symmetry_equiv_pos_as_xyz
'x,y,z'
loop_
_atom_site_label
_atom_site_type_symbol
_atom_site_fract_x
_atom_site_fract_y
_atom_site_fract_z
Y1 Y 0.0000 0.0000 0.0000
Hg1 Hg 0.2342 0.2342 0.0000
Hg2 Hg 0.7658 0.7658 0.0000
F1 F 0.0000 0.5000 0.5000
F2 F 0.1141 0.1141 0.0000
F3 F 0.5000 0.0000 0.5000
F4 F 0.8859 0.8859 0.0000

[4]
# YHg3F | the Alexandria database | GGA-PBE | optimized geometry
# * polymorph energy (0 for the lowest one): 0.000 eV/atom
# * symmetry: No. 221
# * raw formation energy: -1.9 eV/f.u.
# * mass density: 9.5 g/cm3
data_YHg3F
_symmetry_space_group_name_H-M 'P 1'
_symmetry_Int_Tables_number 1
_cell_length_a 4.9883
_cell_length_b 4.9883
_cell_length_c 4.9883
_cell_angle_alpha 90.00
_cell_angle_beta 90.00
_cell_angle_gamma 90.00
loop_
_symmetry_equiv_pos_as_xyz
'x,y,z'
loop_
_atom_site_label
_atom_site_type_symbol
_atom_site_fract_x
_atom_site_fract_y
_atom_site_fract_z
Y1 Y 0.0000 0.0000 0.0000
Hg1 Hg 0.0000 0.5000 0.5000
Hg2 Hg 0.5000 0.0000 0.5000
Hg3 Hg 0.5000 0.5000 0.0000
F1 F 0.5000 0.5000 0.5000

[5]
# YHg3F | the Alexandria database | GGA-PBE | optimized geometry
# * polymorph energy (0 for the lowest one): 0.365 eV/atom
# * symmetry: No. 221
# * raw formation energy: -0.1 eV/f.u.
# * mass density: 5.3 g/cm3
data_YHg3F
_symmetry_space_group_name_H-M 'P 1'
_symmetry_Int_Tables_number 1
_cell_length_a 6.0504
_cell_length_b 6.0504
_cell_length_c 6.0504
_cell_angle_alpha 90.00
_cell_angle_beta 90.00
_cell_angle_gamma 90.00
loop_
_symmetry_equiv_pos_as_xyz
'x,y,z'
loop_
_atom_site_label
_atom_site_type_symbol
_atom_site_fract_x
_atom_site_fract_y
_atom_site_fract_z
Y1 Y 0.0000 0.0000 0.0000
Hg1 Hg 0.0000 0.0000 0.5000
Hg2 Hg 0.0000 0.5000 0.0000
Hg3 Hg 0.5000 0.0000 0.0000
F1 F 0.5000 0.5000 0.5000

[6]
# YHg2F2 | the Alexandria database | GGA-PBE | optimized geometry
# * polymorph energy (0 for the lowest one): 0.000 eV/atom
# * symmetry: No. 127
# * raw formation energy: -10.4 eV/f.u.
# * mass density: 7.6 g/cm3
data_YHg2F2
_symmetry_space_group_name_H-M 'P 1'
_symmetry_Int_Tables_number 1
_cell_length_a 6.0625
_cell_length_b 6.0625
_cell_length_c 6.2618
_cell_angle_alpha 90.00
_cell_angle_beta 90.00
_cell_angle_gamma 90.00
loop_
_symmetry_equiv_pos_as_xyz
'x,y,z'
loop_
_atom_site_label
_atom_site_type_symbol
_atom_site_fract_x
_atom_site_fract_y
_atom_site_fract_z
Y1 Y 0.0000 0.0000 0.0000
Y2 Y 0.5000 0.5000 0.0000
Hg1 Hg 0.2002 0.2998 0.5000
Hg2 Hg 0.2998 0.7998 0.5000
Hg3 Hg 0.7002 0.2002 0.5000
Hg4 Hg 0.7998 0.7002 0.5000
F1 F 0.2000 0.7000 0.0000
F2 F 0.3000 0.2000 0.0000
F3 F 0.7000 0.8000 0.0000
F4 F 0.8000 0.3000 0.0000

| no. | M_tot (μB/cell) | volume (Å³ per atom) |
| --- | --- | --- |
| 1 | 0.55 | 19.82 |
| 2 | 0.00 | 21.47 |
| 3 | 0.00 | 25.78 |
| 4 | 0.00 | 24.83 |
| 5 | 0.00 | 44.30 |
| 6 | 0.00 | 23.01 |